Compound: Ba2ZnCd
Source: the Alexandria database
Functional: PBE
Structure: optimized geometry

Results
- M_tot: 0.00 Bohr magnetons per cell
- Energy relative to the lowest polymorph listed for this composition: 0 meV/atom
- Energy of formation from the pure elements: -0.234 eV/atom
- Symmetry: No. 225

Cell: 5.932 5.932 5.932 Å, 60.00 60.00 60.00°
Fractional coordinates of all 4 atoms:
Ba1 0.250 0.250 0.250
Ba2 0.750 0.750 0.750
Zn1 0.000 0.000 0.000
Cd1 0.500 0.500 0.500

***

Compound: BaZn6Cd12
Source: the Alexandria database
Functional: PBE
Structure: optimized geometry

Results
- M_tot: 0.00 Bohr magnetons per cell
- Energy of formation from the pure elements: -0.006 eV/atom
- Symmetry: No. 166

Cell: 7.901 7.901 7.901 Å, 104.49 104.49 104.49°
Fractional coordinates of all 19 atoms:
Ba1 0.000 0.000 0.000
Zn1 0.265 0.265 0.711
Zn2 0.265 0.711 0.265
Zn3 0.289 0.735 0.735
Zn4 0.711 0.265 0.265
Zn5 0.735 0.289 0.735
Zn6 0.735 0.735 0.289
Cd1 0.116 0.500 0.884
Cd2 0.116 0.884 0.500
Cd3 0.165 0.415 0.415
Cd4 0.415 0.165 0.415
Cd5 0.415 0.415 0.165
Cd6 0.500 0.116 0.884
Cd7 0.500 0.884 0.116
Cd8 0.585 0.585 0.835
Cd9 0.585 0.835 0.585
Cd10 0.835 0.585 0.585
Cd11 0.884 0.116 0.500
Cd12 0.884 0.500 0.116

***

Compound: BaZn4Cd12
Source: the Alexandria database
Functional: PBE
Structure: optimized geometry

Results
- M_tot: 0.00 Bohr magnetons per cell
- Energy of formation from the pure elements: 0.069 eV/atom
- Symmetry: No. 204

Cell: 8.338 8.338 8.338 Å, 109.47 109.47 109.47°
Fractional coordinates of all 17 atoms:
Ba1 0.000 0.000 0.000
Zn1 0.000 0.000 0.500
Zn2 0.000 0.500 0.000
Zn3 0.500 0.000 0.000
Zn4 0.500 0.500 0.500
Cd1 0.159 0.349 0.508
Cd2 0.159 0.651 0.811
Cd3 0.189 0.841 0.349
Cd4 0.349 0.189 0.841
Cd5 0.349 0.508 0.159
Cd6 0.492 0.841 0.651
Cd7 0.508 0.159 0.349
Cd8 0.651 0.492 0.841
Cd9 0.651 0.811 0.159
Cd10 0.811 0.159 0.651
Cd11 0.841 0.349 0.189
Cd12 0.841 0.651 0.492

***

Compound: BaZn3Cd
Source: the Alexandria database
Functional: PBE
Structure: optimized geometry

Results
- M_tot: 0.00 Bohr magnetons per cell
- Energy relative to the lowest polymorph listed for this composition: 0 meV/atom
- Energy of formation from the pure elements: -0.104 eV/atom
- Symmetry: No. 194

Cell: 6.733 6.733 6.325 Å, 90.00 90.00 120.00°
Fractional coordinates of all 10 atoms:
Ba1 0.333 0.667 0.250
Ba2 0.667 0.333 0.750
Zn1 0.201 0.403 0.750
Zn2 0.201 0.799 0.750
Zn3 0.403 0.201 0.250
Zn4 0.597 0.799 0.750
Zn5 0.799 0.201 0.250
Zn6 0.799 0.597 0.250
Cd1 0.000 0.000 0.000
Cd2 0.000 0.000 0.500

***

Compound: Ba2Zn2Cd3
Source: the Alexandria database
Functional: PBE
Structure: optimized geometry

Results
- M_tot: 0.00 Bohr magnetons per cell
- Energy relative to the lowest polymorph listed for this composition: 0 meV/atom
- Energy of formation from the pure elements: -0.224 eV/atom
- Symmetry: No. 12

Cell: 6.495 6.495 8.296 Å, 117.44 117.44 41.59°
Fractional coordinates of all 7 atoms:
Ba1 0.133 0.133 0.266
Ba2 0.867 0.867 0.734
Zn1 0.140 0.140 0.699
Zn2 0.860 0.860 0.301
Cd1 0.357 0.357 0.067
Cd2 0.500 0.500 0.500
Cd3 0.643 0.643 0.933

***

Compound: BaZn2Cd2
Source: the Alexandria database
Functional: PBE
Structure: optimized geometry

Results
- M_tot: 0.00 Bohr magnetons per cell
- Energy relative to the lowest polymorph listed for this composition: 35 meV/atom
- Energy of formation from the pure elements: -0.189 eV/atom
- Symmetry: No. 139

Cell: 6.337 6.337 6.337 Å, 133.40 133.40 68.03°
Fractional coordinates of all 5 atoms:
Ba1 0.000 0.000 0.000
Zn1 0.250 0.750 0.500
Zn2 0.750 0.250 0.500
Cd1 0.364 0.364 0.000
Cd2 0.636 0.636 0.000

***

Compound: BaZn2Cd8
Source: the Alexandria database
Functional: PBE
Structure: optimized geometry

Results
- M_tot: 0.00 Bohr magnetons per cell
- Energy of formation from the pure elements: 0.100 eV/atom
- Symmetry: No. 123

Cell: 6.162 6.162 9.252 Å, 90.00 90.00 90.00°
Fractional coordinates of all 11 atoms:
Ba1 0.000 0.000 0.000
Zn1 0.000 0.500 0.500
Zn2 0.500 0.000 0.500
Cd1 0.253 0.253 0.309
Cd2 0.253 0.253 0.691
Cd3 0.253 0.747 0.309
Cd4 0.253 0.747 0.691
Cd5 0.747 0.253 0.309
Cd6 0.747 0.253 0.691
Cd7 0.747 0.747 0.309
Cd8 0.747 0.747 0.691

***

Compound: Ba3ZnCd
Source: the Alexandria database
Functional: PBE
Structure: optimized geometry

Results
- M_tot: 0.70 Bohr magnetons per cell
- Energy relative to the lowest polymorph listed for this composition: 274 meV/atom
- Energy of formation from the pure elements: 0.073 eV/atom
- Symmetry: No. 221

Cell: 6.401 6.401 6.401 Å, 90.00 90.00 90.00°
Fractional coordinates of all 5 atoms:
Ba1 0.000 0.000 0.500
Ba2 0.000 0.500 0.000
Ba3 0.500 0.000 0.000
Zn1 0.000 0.000 0.000
Cd1 0.500 0.500 0.500

***

Compound: Ba3ZnCd3
Source: the Alexandria database
Functional: PBE
Structure: optimized geometry

Results
- M_tot: 0.00 Bohr magnetons per cell
- Energy of formation from the pure elements: -0.267 eV/atom
- Symmetry: No. 12

Cell: 6.715 6.715 18.006 Å, 105.28 105.28 40.80°
Fractional coordinates of all 14 atoms:
Ba1 0.012 0.012 0.390
Ba2 0.109 0.109 0.921
Ba3 0.237 0.237 0.239
Ba4 0.763 0.763 0.761
Ba5 0.891 0.891 0.079
Ba6 0.988 0.988 0.610
Zn1 0.278 0.278 0.613
Zn2 0.722 0.722 0.387
Cd1 0.322 0.322 0.462
Cd2 0.398 0.398 0.921
Cd3 0.473 0.473 0.764
Cd4 0.527 0.527 0.236
Cd5 0.602 0.602 0.079
Cd6 0.678 0.678 0.538

***

Compound: Ba2Zn5Cd
Source: the Alexandria database
Functional: PBE
Structure: optimized geometry

Results
- M_tot: 0.00 Bohr magnetons per cell
- Energy of formation from the pure elements: -0.180 eV/atom
- Symmetry: No. 63

Cell: 9.149 9.149 9.717 Å, 90.00 90.00 149.80°
Fractional coordinates of all 16 atoms:
Ba1 0.000 0.000 0.000
Ba2 0.000 0.000 0.500
Ba3 0.203 0.797 0.750
Ba4 0.797 0.203 0.250
Zn1 0.183 0.817 0.113
Zn2 0.183 0.817 0.387
Zn3 0.343 0.657 0.005
Zn4 0.343 0.657 0.495
Zn5 0.397 0.603 0.750
Zn6 0.603 0.397 0.250
Zn7 0.657 0.343 0.505
Zn8 0.657 0.343 0.995
Zn9 0.817 0.183 0.613
Zn10 0.817 0.183 0.887
Cd1 0.443 0.557 0.250
Cd2 0.557 0.443 0.750

***

Compound: BaZn2Cd3
Source: the Alexandria database
Functional: PBE
Structure: optimized geometry

Results
- M_tot: 0.00 Bohr magnetons per cell
- Energy of formation from the pure elements: -0.150 eV/atom
- Symmetry: No. 12

Cell: 9.164 9.164 7.728 Å, 109.77 109.77 29.65°
Fractional coordinates of all 12 atoms:
Ba1 0.108 0.108 0.154
Ba2 0.892 0.892 0.846
Zn1 0.242 0.242 0.718
Zn2 0.494 0.494 0.288
Zn3 0.506 0.506 0.712
Zn4 0.758 0.758 0.282
Cd1 0.078 0.078 0.644
Cd2 0.313 0.313 0.098
Cd3 0.334 0.334 0.491
Cd4 0.666 0.666 0.509
Cd5 0.687 0.687 0.902
Cd6 0.922 0.922 0.356

***

Compound: Ba3Zn3Cd2
Source: the Alexandria database
Functional: PBE
Structure: optimized geometry

Results
- M_tot: 0.00 Bohr magnetons per cell
- Energy of formation from the pure elements: -0.222 eV/atom
- Symmetry: No. 63

Cell: 6.509 6.509 16.458 Å, 90.00 90.00 133.52°
Fractional coordinates of all 16 atoms:
Ba1 0.102 0.898 0.604
Ba2 0.102 0.898 0.896
Ba3 0.395 0.605 0.750
Ba4 0.605 0.395 0.250
Ba5 0.898 0.102 0.104
Ba6 0.898 0.102 0.396
Zn1 0.309 0.691 0.250
Zn2 0.394 0.606 0.535
Zn3 0.394 0.606 0.965
Zn4 0.606 0.394 0.035
Zn5 0.606 0.394 0.465
Zn6 0.691 0.309 0.750
Cd1 0.199 0.801 0.095
Cd2 0.199 0.801 0.405
Cd3 0.801 0.199 0.595
Cd4 0.801 0.199 0.905

***

Compound: BaZnCd3
Source: the Alexandria database
Functional: PBE
Structure: optimized geometry

Results
- M_tot: 0.00 Bohr magnetons per cell
- Energy relative to the lowest polymorph listed for this composition: 890 meV/atom
- Energy of formation from the pure elements: 0.646 eV/atom
- Symmetry: No. 221

Cell: 6.932 6.932 6.932 Å, 90.00 90.00 90.00°
Fractional coordinates of all 5 atoms:
Ba1 0.000 0.000 0.000
Zn1 0.500 0.500 0.500
Cd1 0.000 0.000 0.500
Cd2 0.000 0.500 0.000
Cd3 0.500 0.000 0.000

***

Compound: BaZn3Cd
Source: the Alexandria database
Functional: PBE
Structure: optimized geometry

Results
- M_tot: 0.00 Bohr magnetons per cell
- Energy relative to the lowest polymorph listed for this composition: 168 meV/atom
- Energy of formation from the pure elements: 0.064 eV/atom
- Symmetry: No. 221

Cell: 5.171 5.171 5.171 Å, 90.00 90.00 90.00°
Fractional coordinates of all 5 atoms:
Ba1 0.000 0.000 0.000
Zn1 0.000 0.500 0.500
Zn2 0.500 0.000 0.500
Zn3 0.500 0.500 0.000
Cd1 0.500 0.500 0.500

***

Compound: Ba2Zn3Cd6
Source: the Alexandria database
Functional: PBE
Structure: optimized geometry

Results
- M_tot: 0.00 Bohr magnetons per cell
- Energy of formation from the pure elements: -0.182 eV/atom
- Symmetry: No. 189

Cell: 8.663 8.663 4.526 Å, 90.00 90.00 120.00°
Fractional coordinates of all 11 atoms:
Ba1 0.333 0.667 0.000
Ba2 0.667 0.333 0.000
Zn1 0.000 0.376 0.500
Zn2 0.376 0.000 0.500
Zn3 0.624 0.624 0.500
Cd1 0.000 0.196 0.000
Cd2 0.000 0.703 0.500
Cd3 0.196 0.000 0.000
Cd4 0.297 0.297 0.500
Cd5 0.703 0.000 0.500
Cd6 0.804 0.804 0.000

***

Compound: BaZn2Cd2
Source: the Alexandria database
Functional: PBE
Structure: optimized geometry

Results
- M_tot: 0.00 Bohr magnetons per cell
- Energy relative to the lowest polymorph listed for this composition: 242 meV/atom
- Energy of formation from the pure elements: 0.018 eV/atom
- Symmetry: No. 127

Cell: 8.621 8.621 3.422 Å, 90.00 90.00 90.00°
Fractional coordinates of all 10 atoms:
Ba1 0.000 0.000 0.000
Ba2 0.500 0.500 0.000
Zn1 0.172 0.328 0.500
Zn2 0.328 0.828 0.500
Zn3 0.672 0.172 0.500
Zn4 0.828 0.672 0.500
Cd1 0.122 0.622 0.000
Cd2 0.378 0.122 0.000
Cd3 0.622 0.878 0.000
Cd4 0.878 0.378 0.000

***

Compound: Ba2Zn3Cd5
Source: the Alexandria database
Functional: PBE
Structure: optimized geometry

Results
- M_tot: 0.00 Bohr magnetons per cell
- Energy of formation from the pure elements: -0.225 eV/atom
- Symmetry: No. 115

Cell: 4.751 4.751 11.855 Å, 90.00 90.00 90.00°
Fractional coordinates of all 10 atoms:
Ba1 0.000 0.500 0.232
Ba2 0.500 0.000 0.768
Zn1 0.000 0.000 0.000
Zn2 0.000 0.500 0.886
Zn3 0.500 0.000 0.114
Cd1 0.000 0.000 0.500
Cd2 0.000 0.500 0.653
Cd3 0.500 0.000 0.347
Cd4 0.500 0.500 0.000
Cd5 0.500 0.500 0.500

***

Compound: Ba2ZnCd
Source: the Alexandria database
Functional: PBE
Structure: optimized geometry

Results
- M_tot: 0.00 Bohr magnetons per cell
- Energy relative to the lowest polymorph listed for this composition: 270 meV/atom
- Energy of formation from the pure elements: 0.036 eV/atom
- Symmetry: No. 122

Cell: 7.639 7.639 7.639 Å, 106.17 106.17 116.29°
Fractional coordinates of all 8 atoms:
Ba1 0.105 0.625 0.980
Ba2 0.375 0.355 0.480
Ba3 0.645 0.125 0.020
Ba4 0.875 0.895 0.520
Zn1 0.000 0.000 0.000
Zn2 0.750 0.250 0.500
Cd1 0.250 0.750 0.500
Cd2 0.500 0.500 0.000

***

Compound: Ba3ZnCd
Source: the Alexandria database
Functional: PBE
Structure: optimized geometry

Results
- M_tot: 0.00 Bohr magnetons per cell
- Energy relative to the lowest polymorph listed for this composition: 106 meV/atom
- Energy of formation from the pure elements: -0.095 eV/atom
- Symmetry: No. 15

Cell: 10.454 10.454 8.675 Å, 90.11 90.11 76.19°
Fractional coordinates of all 20 atoms:
Ba1 0.040 0.709 0.995
Ba2 0.042 0.710 0.505
Ba3 0.290 0.958 0.995
Ba4 0.291 0.960 0.505
Ba5 0.369 0.370 0.499
Ba6 0.370 0.369 0.999
Ba7 0.630 0.631 0.001
Ba8 0.631 0.630 0.501
Ba9 0.709 0.040 0.495
Ba10 0.710 0.042 0.005
Ba11 0.958 0.290 0.495
Ba12 0.960 0.291 0.005
Zn1 0.114 0.445 0.749
Zn2 0.445 0.114 0.249
Zn3 0.555 0.886 0.751
Zn4 0.886 0.555 0.251
Cd1 0.008 0.992 0.250
Cd2 0.328 0.672 0.250
Cd3 0.672 0.328 0.750
Cd4 0.992 0.008 0.750

***

Compound: Ba12ZnCd6
Source: the Alexandria database
Functional: PBE
Structure: optimized geometry

Results
- M_tot: 0.00 Bohr magnetons per cell
- Energy of formation from the pure elements: -0.077 eV/atom
- Symmetry: No. 148

Cell: 10.143 10.143 10.143 Å, 100.38 100.38 100.38°
Fractional coordinates of all 19 atoms:
Ba1 0.032 0.932 0.681
Ba2 0.068 0.319 0.968
Ba3 0.178 0.566 0.419
Ba4 0.319 0.968 0.068
Ba5 0.419 0.178 0.566
Ba6 0.434 0.581 0.822
Ba7 0.566 0.419 0.178
Ba8 0.581 0.822 0.434
Ba9 0.681 0.032 0.932
Ba10 0.822 0.434 0.581
Ba11 0.932 0.681 0.032
Ba12 0.968 0.068 0.319
Zn1 0.000 0.000 0.000
Cd1 0.134 0.309 0.635
Cd2 0.309 0.635 0.134
Cd3 0.365 0.866 0.691
Cd4 0.635 0.134 0.309
Cd5 0.691 0.365 0.866
Cd6 0.866 0.691 0.365

***

Compound: Ba5Zn2Cd
Source: the Alexandria database
Functional: PBE
Structure: optimized geometry

Results
- M_tot: 0.00 Bohr magnetons per cell
- Energy of formation from the pure elements: -0.145 eV/atom
- Symmetry: No. 140

Cell: 11.109 11.109 11.109 Å, 134.42 134.42 66.43°
Fractional coordinates of all 16 atoms:
Ba1 0.000 0.000 0.000
Ba2 0.030 0.530 0.852
Ba3 0.179 0.030 0.500
Ba4 0.321 0.821 0.852
Ba5 0.470 0.321 0.500
Ba6 0.500 0.500 0.000
Ba7 0.530 0.679 0.500
Ba8 0.679 0.179 0.148
Ba9 0.821 0.970 0.500
Ba10 0.970 0.470 0.148
Zn1 0.106 0.394 0.500
Zn2 0.394 0.894 0.288
Zn3 0.606 0.106 0.712
Zn4 0.894 0.606 0.500
Cd1 0.250 0.250 0.000
Cd2 0.750 0.750 0.000